Entry 1:
# PBE RbTiPbBr6, relaxed
data_RbTiPbBr6
_cell_length_a 7.4584
_cell_length_b 7.4584
_cell_length_c 7.3754
_cell_angle_alpha 90.00
_cell_angle_beta 90.00
_cell_angle_gamma 120.00
_symmetry_space_group_name_H-M 'P 3 1 2'
_symmetry_Int_Tables_number 149
loop_
_symmetry_equiv_pos_as_xyz
'x,y,z'
'-y,x-y,z'
'-x+y,-x,z'
'-y,-x,-z'
'-x+y,y,-z'
'x,x-y,-z'
loop_
_atom_site_label
_atom_site_fract_x
_atom_site_fract_y
_atom_site_fract_z
Rb1 0.0000 0.0000 0.0000
Ti1 0.6667 0.3333 0.5000
Pb1 0.3333 0.6667 0.5000
Br1 0.3904 0.0439 0.7081
# Final energy (eV/atom): -3.735
# Raw formation energy (meV/atom): -1223

---

Entry 2:
# PBE KBa3O, relaxed
data_KBa3O
_cell_length_a 5.9384
_cell_length_b 5.9384
_cell_length_c 5.9384
_cell_angle_alpha 90.00
_cell_angle_beta 90.00
_cell_angle_gamma 90.00
_symmetry_space_group_name_H-M 'P m -3 m'
_symmetry_Int_Tables_number 221
_symmetry_space_group_name_Hall '-P 4 2 3'
loop_
_atom_site_label
_atom_site_fract_x
_atom_site_fract_y
_atom_site_fract_z
K1 0.0000 0.0000 0.0000
Ba1 0.0000 0.5000 0.5000
O1 0.5000 0.5000 0.5000
# Excess energy over the best structure of this formula in the dataset (kcal/mol of atoms): 0.00
# Final energy (eV/atom): -3.132
# Raw formation energy (meV/atom): -767